# Ca4YTa (PBE, optimized geometry)
# ΔH_f (0 K) ... 0.84 eV per atom
data_Ca4YTa
_symmetry_space_group_name_H-M 'F -4 3 m'
_symmetry_Int_Tables_number 216
_symmetry_space_group_name_Hall 'F -4 2 3'
_cell_length_a 9.3193
_cell_length_b 9.3193
_cell_length_c 9.3193
_cell_angle_alpha 90.00
_cell_angle_beta 90.00
_cell_angle_gamma 90.00
loop_
_atom_site_label
_atom_site_type_symbol
_atom_site_fract_x
_atom_site_fract_y
_atom_site_fract_z
Ca1 Ca 0.1247 0.1247 0.1247
Y1 Y 0.0000 0.0000 0.5000
Ta1 Ta 0.2500 0.2500 0.7500

# KZnHg6 (PBE, optimized geometry)
# ΔH_f (0 K) ... -0.08 eV per atom
data_KZnHg6
_symmetry_space_group_name_H-M 'R -3 m'
_symmetry_Int_Tables_number 166
_symmetry_space_group_name_Hall '-R 3 2"'
_cell_length_a 5.3477
_cell_length_b 5.3477
_cell_length_c 26.8178
_cell_angle_alpha 90.00
_cell_angle_beta 90.00
_cell_angle_gamma 120.00
loop_
_atom_site_label
_atom_site_type_symbol
_atom_site_fract_x
_atom_site_fract_y
_atom_site_fract_z
K1 K 0.0000 0.0000 0.0000
Zn1 Zn 0.0000 0.0000 0.5000
Hg1 Hg 0.0000 0.0000 0.1417
Hg2 Hg 0.0000 0.0000 0.2630
Hg3 Hg 0.0000 0.0000 0.3963

# Dy2YHfP4 (PBE, optimized geometry)
# ΔH_f (0 K) ... -1.54 eV per atom
data_Dy2YHfP4
_symmetry_space_group_name_H-M 'P 1 2/m 1'
_symmetry_Int_Tables_number 10
_symmetry_space_group_name_Hall '-P 2y'
_cell_length_a 6.7893
_cell_length_b 3.9143
_cell_length_c 6.7905
_cell_angle_alpha 90.00
_cell_angle_beta 109.25
_cell_angle_gamma 90.00
loop_
_atom_site_label
_atom_site_type_symbol
_atom_site_fract_x
_atom_site_fract_y
_atom_site_fract_z
Dy1 Dy 0.0000 0.0000 0.0000
Dy2 Dy 0.0000 0.5000 0.5000
Y1 Y 0.5000 0.0000 0.5000
Hf1 Hf 0.5000 0.5000 0.0000
P1 P 0.2570 0.5000 0.2423
P2 P 0.2633 0.0000 0.7637

# Ca2Ge2H (PBE, optimized geometry)
# Total DFT energy (no corrections) ... -3.618 eV/atom
data_Ca2Ge2H
_symmetry_space_group_name_H-M 'P 4/m b m'
_symmetry_Int_Tables_number 127
_symmetry_space_group_name_Hall '-P 4 2ab'
_cell_length_a 7.4830
_cell_length_b 7.4830
_cell_length_c 4.3536
_cell_angle_alpha 90.00
_cell_angle_beta 90.00
_cell_angle_gamma 90.00
loop_
_atom_site_label
_atom_site_type_symbol
_atom_site_fract_x
_atom_site_fract_y
_atom_site_fract_z
Ca1 Ca 0.1887 0.3113 0.0000
Ge1 Ge 0.1091 0.6091 0.5000
H1 H 0.0000 0.0000 0.0000

# LiAl2Pt (PBE, optimized geometry)
# ΔH_f (0 K) ... -0.47 eV per atom
data_LiAl2Pt
_symmetry_space_group_name_H-M 'P 4 m m'
_symmetry_Int_Tables_number 99
_symmetry_space_group_name_Hall 'P 4 -2'
_cell_length_a 2.8899
_cell_length_b 2.8899
_cell_length_c 7.5172
_cell_angle_alpha 90.00
_cell_angle_beta 90.00
_cell_angle_gamma 90.00
loop_
_atom_site_label
_atom_site_type_symbol
_atom_site_fract_x
_atom_site_fract_y
_atom_site_fract_z
Li1 Li 0.0000 0.0000 0.0000
Al1 Al 0.0000 0.0000 0.4471
Al2 Al 0.5000 0.5000 0.7176
Pt1 Pt 0.5000 0.5000 0.2402

# ZrPd4Au7 (PBE, optimized geometry)
# ΔH_f (0 K) ... -0.26 eV per atom
# Relative energy among the computed polymorphs ... 0.0000 eV/atom
data_ZrPd4Au7
_symmetry_space_group_name_H-M 'P -1'
_symmetry_Int_Tables_number 2
_symmetry_space_group_name_Hall '-P 1'
_cell_length_a 5.8297
_cell_length_b 6.4599
_cell_length_c 6.5069
_cell_angle_alpha 95.71
_cell_angle_beta 116.36
_cell_angle_gamma 103.39
loop_
_atom_site_label
_atom_site_type_symbol
_atom_site_fract_x
_atom_site_fract_y
_atom_site_fract_z
Zr1 Zr 0.0000 0.0000 0.0000
Pd1 Pd 0.2472 0.3291 0.8386
Pd2 Pd 0.4902 0.3238 0.3292
Au1 Au 0.0018 0.3378 0.3351
Au2 Au 0.2460 0.9984 0.4968
Au3 Au 0.2591 0.6629 0.1690
Au4 Au 0.5000 0.0000 0.0000

Q: Number 1 is which compound?
A: Ca4YTa